VASP calculation (PBE) on a relaxed BaBrN crystal.

## Properties
Space group: P-1 (2)
Formation energy without anion corrections: -1.313 eV per atom
Density of states at the Fermi level: 2.3 states/eV/cell

a = 5.1255 Å, b = 4.2587 Å, c = 9.0505 Å
α = 80.81°, β = 73.66°, γ = 90.02°
Last column: nearest neighbours and their distance in Å.
Positions (direct):
Ba 0.8768 0.3295 0.7432  3 N 2.64-2.81
Ba 0.1232 0.6705 0.2568  3 N 2.64-2.81
Br 0.3247 0.7989 0.8484  5 Ba 3.44-3.50, 2 N 3.65-3.66
Br 0.6753 0.2011 0.1516  5 Ba 3.44-3.50, 2 N 3.65-3.66
N 0.0228 0.1277 0.4555  1 N 1.23
N 0.9772 0.8723 0.5445  1 N 1.23